Entry from Alexandria via LeMat-Bulk: a relaxed AlTe2Pb crystal (GGA-PBE).

For the calculated total energy, the calculation gives -26.79 eV per cell. For the formation energy (no corrections), the calculation gives 0.085 eV/atom. For the density of states at the Fermi level, the calculation gives 0.62 states/eV/atom. For the volume, the calculation gives 29.3 Å³ per atom.

Structure (CIF):
```
data_AlTe2Pb
_chemical_formula_sum 'Al2 Te4 Pb2'
_cell_length_a 4.4600
_cell_length_b 4.4600
_cell_length_c 11.7861
_cell_angle_alpha 90.00
_cell_angle_beta 90.00
_cell_angle_gamma 90.00
_symmetry_space_group_name_H-M 'I -4 m 2'
_symmetry_Int_Tables_number 119
_symmetry_space_group_name_Hall 'I -4 -2'
loop_
_atom_site_label
_atom_site_type_symbol
_atom_site_fract_x
_atom_site_fract_y
_atom_site_fract_z
Al1 Al 0.0000 0.0000 0.0000
Te1 Te 0.0000 0.0000 0.5000
Te2 Te 0.0000 0.5000 0.2500
Pb1 Pb 0.0000 0.5000 0.7500
```